Ba2NiSe | PBE | relaxed

Output
* N(E_F): 7.17 states/eV/cell
* uncorrected energy: -3.843 eV/atom
* ΔE_f (raw): -0.5653 eV/atom
* V: 254 Å³/cell

The structure in CIF format:
```
data_Ba2NiSe
_chemical_formula_sum 'Ba4 Ni2 Se2'
_cell_length_a 4.537
_cell_length_b 4.537
_cell_length_c 12.359
_cell_angle_alpha 90.00
_cell_angle_beta 90.00
_cell_angle_gamma 90.00
_symmetry_space_group_name_H-M 'I -4 m 2'
_symmetry_Int_Tables_number 119
_symmetry_space_group_name_Hall 'I -4 -2'
loop_
_atom_site_label
_atom_site_type_symbol
_atom_site_fract_x
_atom_site_fract_y
_atom_site_fract_z
Ba1 Ba 0.000 0.000 0.000
Ba2 Ba 0.000 0.500 0.250
Ni1 Ni 0.000 0.500 0.750
Se1 Se 0.000 0.000 0.500
```